No. 1
# BaHfNi2 (PBE-GGA, relaxed)
data_BaHfNi2
_symmetry_space_group_name_H-M 'F m -3 m'
_symmetry_Int_Tables_number 225
_symmetry_space_group_name_Hall '-F 4 2 3'
_cell_length_a 6.9019
_cell_length_b 6.9019
_cell_length_c 6.9019
_cell_angle_alpha 90.00
_cell_angle_beta 90.00
_cell_angle_gamma 90.00
loop_
_atom_site_label
_atom_site_fract_x
_atom_site_fract_y
_atom_site_fract_z
Ba1 0.0000 0.0000 0.0000
Hf1 0.0000 0.0000 0.5000
Ni1 0.2500 0.2500 0.2500
# Excess energy over the best structure of this formula in the dataset ... 0.000 eV per atom
# Formation energy ... 0.3931 eV/atom

---

No. 2
# TbHo2Zn2 (PBE-GGA, relaxed)
data_TbHo2Zn2
_symmetry_space_group_name_H-M 'C m c 21'
_symmetry_Int_Tables_number 36
_cell_length_a 5.2733
_cell_length_b 15.1983
_cell_length_c 6.1384
_cell_angle_alpha 90.00
_cell_angle_beta 90.00
_cell_angle_gamma 90.00
loop_
_symmetry_equiv_pos_as_xyz
'x,y,z'
'-x,-y,z+1/2'
'-x,y,z'
'x,-y,z+1/2'
'x+1/2,y+1/2,z'
'-x+1/2,-y+1/2,z+1/2'
'-x+1/2,y+1/2,z'
'x+1/2,-y+1/2,z+1/2'
loop_
_atom_site_label
_atom_site_fract_x
_atom_site_fract_y
_atom_site_fract_z
Tb1 0.0000 0.0827 0.0000
Ho1 0.0000 0.2995 0.7493
Ho2 0.0000 0.4567 0.1556
Zn1 0.0000 0.1222 0.4896
Zn2 0.0000 0.2752 0.2575
# Excess energy over the best structure of this formula in the dataset ... 0.071 eV per atom
# Formation energy ... -0.1998 eV/atom

---

No. 3
# CaMn3Cu (PBE-GGA, relaxed)
data_CaMn3Cu
_symmetry_space_group_name_H-M 'P m -3 m'
_symmetry_Int_Tables_number 221
_symmetry_space_group_name_Hall '-P 4 2 3'
_cell_length_a 4.6995
_cell_length_b 4.6995
_cell_length_c 4.6995
_cell_angle_alpha 90.00
_cell_angle_beta 90.00
_cell_angle_gamma 90.00
loop_
_atom_site_label
_atom_site_fract_x
_atom_site_fract_y
_atom_site_fract_z
Ca1 0.0000 0.0000 0.0000
Mn1 0.0000 0.5000 0.5000
Cu1 0.5000 0.5000 0.5000
# Excess energy over the best structure of this formula in the dataset ... 0.000 eV per atom
# Formation energy ... 0.6649 eV/atom

---

No. 4
# ReSi3Ru (PBE-GGA, relaxed)
data_ReSi3Ru
_symmetry_space_group_name_H-M 'P m -3 m'
_symmetry_Int_Tables_number 221
_symmetry_space_group_name_Hall '-P 4 2 3'
_cell_length_a 4.6134
_cell_length_b 4.6134
_cell_length_c 4.6134
_cell_angle_alpha 90.00
_cell_angle_beta 90.00
_cell_angle_gamma 90.00
loop_
_atom_site_label
_atom_site_fract_x
_atom_site_fract_y
_atom_site_fract_z
Re1 0.0000 0.0000 0.0000
Si1 0.0000 0.0000 0.5000
Ru1 0.5000 0.5000 0.5000
# Excess energy over the best structure of this formula in the dataset ... 0.000 eV per atom
# Formation energy from raw total energies ... 1.08 eV per atom

---

No. 5
# Dy2Tl3CdS6 (PBE-GGA, relaxed)
data_Dy2Tl3CdS6
_symmetry_space_group_name_H-M 'C 1 2/m 1'
_symmetry_Int_Tables_number 12
_cell_length_a 6.9766
_cell_length_b 12.0949
_cell_length_c 7.6155
_cell_angle_alpha 90.00
_cell_angle_beta 107.91
_cell_angle_gamma 90.00
loop_
_symmetry_equiv_pos_as_xyz
'x,y,z'
'-x,-y,-z'
'-x,y,-z'
'x,-y,z'
'x+1/2,y+1/2,z'
'-x+1/2,-y+1/2,-z'
'-x+1/2,y+1/2,-z'
'x+1/2,-y+1/2,z'
loop_
_atom_site_label
_atom_site_fract_x
_atom_site_fract_y
_atom_site_fract_z
Dy1 0.0000 0.1669 0.0000
Tl1 0.0000 0.0000 0.5000
Tl2 0.0000 0.3330 0.5000
Cd1 0.0000 0.5000 0.0000
S1 0.2318 0.0000 0.2064
S2 0.2380 0.3310 0.2067
# Formation energy from raw total energies ... -1.07 eV per atom

---

No. 6
# Pu2SnGe2 (PBE-GGA, relaxed)
data_Pu2SnGe2
_symmetry_space_group_name_H-M 'C m m m'
_symmetry_Int_Tables_number 65
_symmetry_space_group_name_Hall '-C 2 2'
_cell_length_a 4.1335
_cell_length_b 14.4464
_cell_length_c 3.9373
_cell_angle_alpha 90.00
_cell_angle_beta 90.00
_cell_angle_gamma 90.00
loop_
_atom_site_label
_atom_site_fract_x
_atom_site_fract_y
_atom_site_fract_z
Pu1 0.0000 0.1259 0.0000
Sn1 0.0000 0.5000 0.5000
Ge1 0.0000 0.3014 0.5000
# Excess energy over the best structure of this formula in the dataset ... 0.046 eV per atom
# Formation energy ... -0.3717 eV/atom

---

No. 7
# Li2NdTm2Mg5 (PBE-GGA, relaxed)
data_Li2NdTm2Mg5
_symmetry_space_group_name_H-M 'P 4/m b m'
_symmetry_Int_Tables_number 127
_symmetry_space_group_name_Hall '-P 4 2ab'
_cell_length_a 10.5492
_cell_length_b 10.5492
_cell_length_c 4.4552
_cell_angle_alpha 90.00
_cell_angle_beta 90.00
_cell_angle_gamma 90.00
loop_
_atom_site_label
_atom_site_fract_x
_atom_site_fract_y
_atom_site_fract_z
Li1 0.1136 0.3864 0.0000
Nd1 0.0000 0.0000 0.0000
Tm1 0.1802 0.6802 0.0000
Mg1 0.0000 0.5000 0.5000
Mg2 0.0634 0.2175 0.5000
# Formation energy ... -0.0013 eV/atom

---

No. 8
# KMnIn (PBE-GGA, relaxed)
data_KMnIn
_symmetry_space_group_name_H-M 'F -4 3 m'
_symmetry_Int_Tables_number 216
_symmetry_space_group_name_Hall 'F -4 2 3'
_cell_length_a 7.6202
_cell_length_b 7.6202
_cell_length_c 7.6202
_cell_angle_alpha 90.00
_cell_angle_beta 90.00
_cell_angle_gamma 90.00
loop_
_atom_site_label
_atom_site_fract_x
_atom_site_fract_y
_atom_site_fract_z
K1 0.0000 0.0000 0.0000
Mn1 0.2500 0.2500 0.2500
In1 0.2500 0.2500 0.7500
# Excess energy over the best structure of this formula in the dataset ... 0.720 eV per atom
# Formation energy ... 1.0910 eV/atom

---

No. 9
# SbMo2 (PBE-GGA, relaxed)
data_SbMo2
_symmetry_space_group_name_H-M 'P a -3'
_symmetry_Int_Tables_number 205
_symmetry_space_group_name_Hall '-P 2ac 2ab 3'
_cell_length_a 6.3914
_cell_length_b 6.3914
_cell_length_c 6.3914
_cell_angle_alpha 90.00
_cell_angle_beta 90.00
_cell_angle_gamma 90.00
loop_
_atom_site_label
_atom_site_fract_x
_atom_site_fract_y
_atom_site_fract_z
Sb1 0.0000 0.0000 0.0000
Mo1 0.1036 0.6036 0.8964
# Excess energy over the best structure of this formula in the dataset ... 0.776 eV per atom
# Formation energy from raw total energies ... 0.98 eV per atom

---

No. 10
# La3OsICl (PBE-GGA, relaxed)
data_La3OsICl
_symmetry_space_group_name_H-M 'P 1 21/m 1'
_symmetry_Int_Tables_number 11
_cell_length_a 9.7282
_cell_length_b 4.2755
_cell_length_c 10.1356
_cell_angle_alpha 90.00
_cell_angle_beta 94.60
_cell_angle_gamma 90.00
loop_
_symmetry_equiv_pos_as_xyz
'x,y,z'
'-x,-y,-z'
'-x,y+1/2,-z'
'x,-y+1/2,z'
loop_
_atom_site_label
_atom_site_fract_x
_atom_site_fract_y
_atom_site_fract_z
La1 0.0805 0.2500 0.3569
La2 0.1583 0.2500 0.9174
La3 0.3175 0.7500 0.6442
Os1 0.1232 0.2500 0.6517
I1 0.3861 0.7500 0.3251
Cl1 0.3617 0.7500 0.9308
# Formation energy from raw total energies ... -0.99 eV per atom

---

No. 11
# NbMoIr2Rh (PBE-GGA, relaxed)
data_NbMoIr2Rh
_symmetry_space_group_name_H-M 'P 4/m m m'
_symmetry_Int_Tables_number 123
_symmetry_space_group_name_Hall '-P 4 2'
_cell_length_a 4.7165
_cell_length_b 4.7165
_cell_length_c 4.5127
_cell_angle_alpha 90.00
_cell_angle_beta 90.00
_cell_angle_gamma 90.00
loop_
_atom_site_label
_atom_site_fract_x
_atom_site_fract_y
_atom_site_fract_z
Nb1 0.0000 0.0000 0.0000
Mo1 0.5000 0.5000 0.0000
Ir1 0.0000 0.5000 0.5000
Rh1 0.5000 0.5000 0.5000
# Formation energy ... 1.7022 eV/atom

---

No. 12
# Pm6Tm5Pu (PBE-GGA, relaxed)
data_Pm6Tm5Pu
_symmetry_space_group_name_H-M 'I m m m'
_symmetry_Int_Tables_number 71
_symmetry_space_group_name_Hall '-I 2 2'
_cell_length_a 5.0580
_cell_length_b 9.9924
_cell_length_c 15.1557
_cell_angle_alpha 90.00
_cell_angle_beta 90.00
_cell_angle_gamma 90.00
loop_
_atom_site_label
_atom_site_fract_x
_atom_site_fract_y
_atom_site_fract_z
Pm1 0.0000 0.2480 0.0000
Pm2 0.0000 0.2514 0.3349
Tm1 0.0000 0.0000 0.1655
Tm2 0.0000 0.0000 0.5000
Tm3 0.0000 0.5000 0.1666
Pu1 0.0000 0.5000 0.5000
# Formation energy ... 0.0495 eV/atom

---

No. 13
# CaTlTe2 (PBE-GGA, relaxed)
data_CaTlTe2
_symmetry_space_group_name_H-M 'R 3 m'
_symmetry_Int_Tables_number 160
_symmetry_space_group_name_Hall 'R 3 -2"'
_cell_length_a 4.4367
_cell_length_b 4.4367
_cell_length_c 24.4445
_cell_angle_alpha 90.00
_cell_angle_beta 90.00
_cell_angle_gamma 120.00
loop_
_atom_site_label
_atom_site_fract_x
_atom_site_fract_y
_atom_site_fract_z
Ca1 0.0000 0.0000 0.0000
Tl1 0.0000 0.0000 0.1681
Te1 0.0000 0.0000 0.4101
Te2 0.0000 0.0000 0.5902
# Formation energy from raw total energies ... -0.78 eV per atom

---

No. 14
# Ba5SeI5 (PBE-GGA, relaxed)
data_Ba5SeI5
_symmetry_space_group_name_H-M 'C 1 2/m 1'
_symmetry_Int_Tables_number 12
_cell_length_a 15.3437
_cell_length_b 6.9176
_cell_length_c 9.8771
_cell_angle_alpha 90.00
_cell_angle_beta 109.00
_cell_angle_gamma 90.00
loop_
_symmetry_equiv_pos_as_xyz
'x,y,z'
'-x,-y,-z'
'-x,y,-z'
'x,-y,z'
'x+1/2,y+1/2,z'
'-x+1/2,-y+1/2,-z'
'-x+1/2,y+1/2,-z'
'x+1/2,-y+1/2,z'
loop_
_atom_site_label
_atom_site_fract_x
_atom_site_fract_y
_atom_site_fract_z
Ba1 0.0000 0.0000 0.0000
Ba2 0.1540 0.5000 0.3086
Ba3 0.1616 0.5000 0.8529
Se1 0.0000 0.5000 0.0000
I1 0.0000 0.5000 0.5000
I2 0.1574 0.0000 0.8131
I3 0.1720 0.0000 0.3404
# Formation energy from raw total energies ... -1.56 eV per atom

---

No. 15
# Dy6Zn23 (PBE-GGA, relaxed)
data_Dy6Zn23
_symmetry_space_group_name_H-M 'F m -3 m'
_symmetry_Int_Tables_number 225
_symmetry_space_group_name_Hall '-F 4 2 3'
_cell_length_a 12.6886
_cell_length_b 12.6886
_cell_length_c 12.6886
_cell_angle_alpha 90.00
_cell_angle_beta 90.00
_cell_angle_gamma 90.00
loop_
_atom_site_label
_atom_site_fract_x
_atom_site_fract_y
_atom_site_fract_z
Dy1 0.0000 0.0000 0.2080
Zn1 0.0000 0.0000 0.5000
Zn2 0.0000 0.2500 0.2500
Zn3 0.1232 0.1232 0.3768
Zn4 0.1713 0.1713 0.1713
# Formation energy ... -0.3053 eV/atom

---

No. 16
# TcCBr3 (PBE-GGA, relaxed)
data_TcCBr3
_symmetry_space_group_name_H-M 'P m -3 m'
_symmetry_Int_Tables_number 221
_symmetry_space_group_name_Hall '-P 4 2 3'
_cell_length_a 5.1267
_cell_length_b 5.1267
_cell_length_c 5.1267
_cell_angle_alpha 90.00
_cell_angle_beta 90.00
_cell_angle_gamma 90.00
loop_
_atom_site_label
_atom_site_fract_x
_atom_site_fract_y
_atom_site_fract_z
Tc1 0.0000 0.0000 0.0000
C1 0.5000 0.5000 0.5000
Br1 0.0000 0.0000 0.5000
# Excess energy over the best structure of this formula in the dataset ... 0.000 eV per atom
# Formation energy from raw total energies ... 1.50 eV per atom

---

No. 17
# Al2CdAu7 (PBE-GGA, relaxed)
data_Al2CdAu7
_symmetry_space_group_name_H-M 'C m m m'
_symmetry_Int_Tables_number 65
_symmetry_space_group_name_Hall '-C 2 2'
_cell_length_a 7.4847
_cell_length_b 12.9874
_cell_length_c 4.5458
_cell_angle_alpha 90.00
_cell_angle_beta 90.00
_cell_angle_gamma 90.00
loop_
_atom_site_label
_atom_site_fract_x
_atom_site_fract_y
_atom_site_fract_z
Al1 0.0000 0.1989 0.0000
Cd1 0.0000 0.5000 0.5000
Au1 0.0000 0.0000 0.0000
Au2 0.0000 0.2829 0.5000
Au3 0.1884 0.3845 0.0000
# Excess energy over the best structure of this formula in the dataset ... 0.132 eV per atom
# Formation energy ... -0.1102 eV/atom

---

No. 18
# VCd2Fe (PBE-GGA, relaxed)
data_VCd2Fe
_symmetry_space_group_name_H-M 'I -4 2 d'
_symmetry_Int_Tables_number 122
_symmetry_space_group_name_Hall 'I -4 2bw'
_cell_length_a 7.5512
_cell_length_b 7.5512
_cell_length_c 5.3835
_cell_angle_alpha 90.00
_cell_angle_beta 90.00
_cell_angle_gamma 90.00
loop_
_atom_site_label
_atom_site_fract_x
_atom_site_fract_y
_atom_site_fract_z
V1 0.0000 0.0000 0.0000
Cd1 0.2273 0.2500 0.6250
Fe1 0.0000 0.0000 0.5000
# Excess energy over the best structure of this formula in the dataset ... 0.234 eV per atom
# Formation energy ... 0.7740 eV/atom

---

No. 19
# YMgAlIn (PBE-GGA, relaxed)
data_YMgAlIn
_symmetry_space_group_name_H-M 'P m m m'
_symmetry_Int_Tables_number 47
_cell_length_a 4.4315
_cell_length_b 4.4597
_cell_length_c 4.5720
_cell_angle_alpha 90.00
_cell_angle_beta 90.00
_cell_angle_gamma 90.00
loop_
_symmetry_equiv_pos_as_xyz
'x,y,z'
'-x,-y,-z'
'-x,-y,z'
'x,y,-z'
'x,-y,-z'
'-x,y,z'
'-x,y,-z'
'x,-y,z'
loop_
_atom_site_label
_atom_site_fract_x
_atom_site_fract_y
_atom_site_fract_z
Y1 0.0000 0.0000 0.0000
Mg1 0.0000 0.5000 0.5000
Al1 0.5000 0.5000 0.0000
In1 0.5000 0.0000 0.5000
# Formation energy ... -0.3659 eV/atom

---

No. 20
# DyZnGa2Pt2 (PBE-GGA, relaxed)
data_DyZnGa2Pt2
_symmetry_space_group_name_H-M 'P -3 m 1'
_symmetry_Int_Tables_number 164
_symmetry_space_group_name_Hall '-P 3 2"'
_cell_length_a 4.3759
_cell_length_b 4.3759
_cell_length_c 6.4643
_cell_angle_alpha 90.00
_cell_angle_beta 90.00
_cell_angle_gamma 120.00
loop_
_atom_site_label
_atom_site_fract_x
_atom_site_fract_y
_atom_site_fract_z
Dy1 0.0000 0.0000 0.0000
Zn1 0.0000 0.0000 0.5000
Ga1 0.3333 0.6667 0.2912
Pt1 0.3333 0.6667 0.7144
# Formation energy ... -0.8001 eV/atom

---

So what do the calculations give for magnetic moment? Going down the list: 0.00, 0.00, 12.03, 2.28, 0.00, 11.21, 0.00, 3.95, 0.01, 0.65, 0.00, 6.38, 0.00, 0.00, 0.00, 4.71, 0.00, 0.31, 0.00, 0.00 μB per formula unit.